w:
Compound: KNi2Os
Source: the Alexandria database
Functional: meta-GGA SCAN
Structure: single point on PBEsol structure

ρ = 9.138 g/cm³
Symmetry = P4/mmm
Calculated volume = 63 Å³/cell

abc: 2.750 2.750 8.331
angles: 90.00 90.00 90.00
Element x y z (fractional)
Ni 0.000 0.000 0.188
Ni 0.000 0.000 0.812
K 0.500 0.500 0.500
Os 0.500 0.500 0.000

=====

x:
Compound: KNi2Os
Source: the Alexandria database
Functional: meta-GGA SCAN
Structure: single point on PBEsol structure

ρ = 8.148 g/cm³
Symmetry = C2/m
Calculated volume = 71 Å³/cell

abc: 2.604 4.257 6.714
angles: 94.06 90.00 107.81
Element x y z (fractional)
K 0.500 0.000 0.000
Ni 0.738 0.477 0.649
Ni 0.262 0.523 0.351
Os 0.000 0.000 0.500

=====

Q: Which of them is the most stable? A: w.

=====

w:
Compound: KTa2NiOs
Source: the Alexandria database
Functional: meta-GGA SCAN
Structure: single point on PBEsol structure

ρ = 9.553 g/cm³
Symmetry = P4/mmm
Calculated volume = 113 Å³/cell

abc: 4.819 4.819 4.864
angles: 90.00 90.00 90.00
Site moments in Bohr magnetons follow the coordinates.
Element x y z (fractional)
Ta 0.000 0.500 0.000  0.35
Ta 0.500 0.000 0.000  0.35
Os 0.000 0.000 0.000  0.07
Ni 0.000 0.000 0.500  0.81
K 0.500 0.500 0.500  0.02

=====

x:
Compound: KTa2NiOs
Source: the Alexandria database
Functional: meta-GGA SCAN
Structure: single point on PBEsol structure

ρ = 11.053 g/cm³
Symmetry = P4/mmm
Calculated volume = 98 Å³/cell

abc: 4.603 4.603 4.609
angles: 90.00 90.00 90.00
Site moments in Bohr magnetons follow the coordinates.
Element x y z (fractional)
Os 0.500 0.500 0.500  0.88
K 0.000 0.000 0.500  0.00
Ni 0.000 0.000 0.000  -0.03
Ta 0.000 0.500 0.000  -0.04
Ta 0.500 0.000 0.000  -0.04

=====

Q: Which of them is the most stable? A: w.

=====

w:
Compound: KNiP2
Source: the Alexandria database
Functional: meta-GGA SCAN
Structure: single point on PBEsol structure

ρ = 3.821 g/cm³
Symmetry = P4mm
Calculated volume = 69 Å³/cell

abc: 3.136 3.136 7.060
angles: 90.00 90.00 90.00
Element x y z (fractional)
Ni 0.500 0.500 0.866
P 0.500 0.500 0.173
P 0.000 0.000 0.968
K 0.000 0.000 0.494

=====

x:
Compound: KNiP2
Source: the Alexandria database
Functional: meta-GGA SCAN
Structure: single point on PBEsol structure

ρ = 3.601 g/cm³
Symmetry = R-3m
Calculated volume = 74 Å³/cell

abc: 3.646 3.646 6.738
angles: 74.30 74.30 60.00
Element x y z (fractional)
P 0.710 0.710 0.869
P 0.290 0.290 0.131
K 0.500 0.500 0.500
Ni 0.000 0.000 0.000

=====

Q: Which of them is the most stable? A: x.

=====

w:
Compound: KNiRh2
Source: the Alexandria database
Functional: meta-GGA SCAN
Structure: single point on PBEsol structure

ρ = 7.709 g/cm³
Symmetry = P4mm
Calculated volume = 65 Å³/cell

abc: 2.764 2.764 8.561
angles: 90.00 90.00 90.00
Site moments in Bohr magnetons follow the coordinates.
Element x y z (fractional)
Rh 0.000 0.000 0.992  0.22
Rh 0.500 0.500 0.193  -0.34
Ni 0.500 0.500 0.810  0.77
K 0.000 0.000 0.505  -0.01

=====

x:
Compound: KNiRh2
Source: the Alexandria database
Functional: meta-GGA SCAN
Structure: single point on PBEsol structure

ρ = 8.027 g/cm³
Symmetry = Immm
Calculated volume = 63 Å³/cell

abc: 2.642 4.764 5.685
angles: 114.77 103.44 90.00
Site moments in Bohr magnetons follow the coordinates.
Element x y z (fractional)
Rh 0.285 0.285 0.569  0.59
Rh 0.715 0.715 0.431  0.59
K 0.500 0.000 0.000  -0.01
Ni 0.000 0.500 0.000  0.84

=====

Q: Which of them is the most stable? A: w.

=====

w:
Compound: KNi2Rh
Source: the Alexandria database
Functional: meta-GGA SCAN
Structure: single point on PBEsol structure

ρ = 6.581 g/cm³
Symmetry = Immm
Calculated volume = 65 Å³/cell

abc: 2.616 5.102 5.681
angles: 116.69 103.31 90.00
Site moments in Bohr magnetons follow the coordinates.
Element x y z (fractional)
Ni 0.712 0.712 0.424  0.97
Ni 0.288 0.288 0.576  0.97
K 0.500 0.000 0.000  -0.01
Rh 0.000 0.500 0.000  0.79

=====

x:
Compound: KNi2Rh
Source: the Alexandria database
Functional: meta-GGA SCAN
Structure: single point on PBEsol structure

ρ = 7.448 g/cm³
Symmetry = P4/mmm
Calculated volume = 58 Å³/cell

abc: 2.618 4.700 4.700
angles: 90.00 90.00 90.00
Site moments in Bohr magnetons follow the coordinates.
Element x y z (fractional)
Rh 0.500 0.500 0.500  0.75
Ni 0.000 0.500 0.000  0.78
Ni 0.000 0.000 0.500  0.78
K 0.500 0.000 0.000  -0.03

=====

y:
Compound: KNi2Rh
Source: the Alexandria database
Functional: meta-GGA SCAN
Structure: single point on PBEsol structure

ρ = 6.414 g/cm³
Symmetry = Pmmm
Calculated volume = 67 Å³/cell

abc: 2.668 3.464 7.267
angles: 90.00 90.00 90.00
Site moments in Bohr magnetons follow the coordinates.
Element x y z (fractional)
K 0.500 0.500 0.500  -0.02
Ni 0.000 0.000 0.165  0.75
Ni 0.000 0.000 0.835  0.75
Rh 0.500 0.500 0.000  0.82

=====

Q: Which of them is the most stable? A: y.

=====

w:
Compound: KSi2Ni
Source: the Alexandria database
Functional: meta-GGA SCAN
Structure: single point on PBEsol structure

ρ = 3.920 g/cm³
Symmetry = F-43m
Calculated volume = 65 Å³/cell

abc: 4.518 4.518 4.518
angles: 60.00 60.00 60.00
Element x y z (fractional)
Si 0.000 0.000 0.000
Si 0.750 0.750 0.750
K 0.500 0.500 0.500
Ni 0.250 0.250 0.250

=====

x:
Compound: KSi2Ni
Source: the Alexandria database
Functional: meta-GGA SCAN
Structure: single point on PBEsol structure

ρ = 3.842 g/cm³
Symmetry = P4/mmm
Calculated volume = 67 Å³/cell

abc: 2.903 2.903 7.894
angles: 90.00 90.00 90.00
Element x y z (fractional)
K 0.500 0.500 0.000
Si 0.000 0.000 0.331
Si 0.000 0.000 0.669
Ni 0.500 0.500 0.500

=====

Q: Which of them is the most stable? A: x.

=====

w:
Compound: KSi2Ni
Source: the Alexandria database
Functional: meta-GGA SCAN
Structure: single point on PBEsol structure

ρ = 3.801 g/cm³
Symmetry = P4/mmm
Calculated volume = 67 Å³/cell

abc: 3.870 3.870 4.490
angles: 90.00 90.00 90.00
Element x y z (fractional)
K 0.500 0.500 0.500
Si 0.000 0.500 0.000
Si 0.500 0.000 0.000
Ni 0.000 0.000 0.500

=====

x:
Compound: KSi2Ni
Source: the Alexandria database
Functional: meta-GGA SCAN
Structure: single point on PBEsol structure

ρ = 3.127 g/cm³
Symmetry = R3m
Calculated volume = 82 Å³/cell

abc: 3.875 3.875 6.675
angles: 73.13 73.13 60.00
Element x y z (fractional)
Si 0.970 0.970 0.090
Si 0.701 0.701 0.898
K 0.505 0.505 0.485
Ni 0.331 0.331 0.007

=====

Q: Which of them is the most stable? A: x.

=====

w:
Compound: KTcNi2
Source: the Alexandria database
Functional: meta-GGA SCAN
Structure: single point on PBEsol structure

ρ = 7.173 g/cm³
Symmetry = R3m
Calculated volume = 59 Å³/cell

abc: 2.666 2.666 9.691
angles: 82.09 82.09 60.00
Site moments in Bohr magnetons follow the coordinates.
Element x y z (fractional)
Ni 0.014 0.014 0.958  0.61
Ni 0.747 0.747 0.758  0.52
K 0.256 0.256 0.233  -0.02
Tc 0.483 0.483 0.551  0.07

=====

x:
Compound: KTcNi2
Source: the Alexandria database
Functional: meta-GGA SCAN
Structure: single point on PBEsol structure

ρ = 7.206 g/cm³
Symmetry = P4/mmm
Calculated volume = 59 Å³/cell

abc: 2.553 4.793 4.793
angles: 90.00 90.00 90.00
Site moments in Bohr magnetons follow the coordinates.
Element x y z (fractional)
Ni 0.000 0.000 0.500  0.85
Ni 0.000 0.500 0.000  0.85
Tc 0.500 0.500 0.500  0.90
K 0.500 0.000 0.000  -0.03

=====

y:
Compound: KTcNi2
Source: the Alexandria database
Functional: meta-GGA SCAN
Structure: single point on PBEsol structure

ρ = 7.445 g/cm³
Symmetry = F-43m
Calculated volume = 57 Å³/cell

abc: 4.314 4.314 4.314
angles: 60.00 60.00 60.00
Site moments in Bohr magnetons follow the coordinates.
Element x y z (fractional)
Tc 0.250 0.250 0.250  2.21
Ni 0.750 0.750 0.750  0.69
Ni 0.000 0.000 0.000  0.83
K 0.500 0.500 0.500  0.01

=====

Q: Which of them is the most stable? A: w.

=====

w:
Compound: KTcNi2
Source: the Alexandria database
Functional: meta-GGA SCAN
Structure: single point on PBEsol structure

ρ = 5.957 g/cm³
Symmetry = C2/m
Calculated volume = 71 Å³/cell

abc: 2.570 4.214 6.889
angles: 93.19 90.00 107.75
Element x y z (fractional)
K 0.500 0.000 0.000
Ni 0.258 0.517 0.351
Ni 0.742 0.483 0.649
Tc 0.000 0.000 0.500

=====

x:
Compound: KTcNi2
Source: the Alexandria database
Functional: meta-GGA SCAN
Structure: single point on PBEsol structure

ρ = 5.891 g/cm³
Symmetry = Cm
Calculated volume = 72 Å³/cell

abc: 2.598 4.354 6.668
angles: 94.61 90.00 107.36
Element x y z (fractional)
Ni 0.976 0.952 0.910
Ni 0.257 0.515 0.739
K 0.744 0.487 0.230
Tc 0.523 0.046 0.621

=====

y:
Compound: KTcNi2
Source: the Alexandria database
Functional: meta-GGA SCAN
Structure: single point on PBEsol structure

ρ = 7.035 g/cm³
Symmetry = Pmmm
Calculated volume = 60 Å³/cell

abc: 2.555 4.656 5.049
angles: 90.00 90.00 90.00
Site moments in Bohr magnetons follow the coordinates.
Element x y z (fractional)
K 0.000 0.500 0.500  0.01
Tc 0.500 0.500 0.000  1.22
Ni 0.000 0.000 0.000  0.85
Ni 0.500 0.000 0.500  0.59

=====

Q: Which of them is the most stable? A: w.

=====

w:
Compound: KTc2Ni
Source: the Alexandria database
Functional: meta-GGA SCAN
Structure: single point on PBEsol structure

ρ = 7.597 g/cm³
Symmetry = P4/mmm
Calculated volume = 64 Å³/cell

abc: 3.603 3.603 4.946
angles: 90.00 90.00 90.00
Element x y z (fractional)
Tc 0.500 0.000 0.000
Tc 0.000 0.500 0.000
Ni 0.000 0.000 0.500
K 0.500 0.500 0.500

=====

x:
Compound: KTc2Ni
Source: the Alexandria database
Functional: meta-GGA SCAN
Structure: single point on PBEsol structure

ρ = 6.357 g/cm³
Symmetry = Cm
Calculated volume = 77 Å³/cell

abc: 2.569 4.393 7.112
angles: 91.48 90.00 107.00
Element x y z (fractional)
Tc 0.988 0.976 0.997
Tc 0.745 0.489 0.149
Ni 0.260 0.520 0.844
K 0.507 0.015 0.510

=====

Q: Which of them is the most stable? A: x.

=====

w:
Compound: KTc2Ni
Source: the Alexandria database
Functional: meta-GGA SCAN
Structure: single point on PBEsol structure

ρ = 7.591 g/cm³
Symmetry = I4/mmm
Calculated volume = 64 Å³/cell

abc: 3.628 3.628 5.515
angles: 109.21 109.21 90.00
Element x y z (fractional)
Tc 0.250 0.750 0.500
Tc 0.750 0.250 0.500
Ni 0.000 0.000 0.000
K 0.500 0.500 0.000

=====

x:
Compound: KTc2Ni
Source: the Alexandria database
Functional: meta-GGA SCAN
Structure: single point on PBEsol structure

ρ = 6.778 g/cm³
Symmetry = Imm2
Calculated volume = 72 Å³/cell

abc: 2.993 5.331 5.449
angles: 119.29 105.94 90.00
Element x y z (fractional)
Ni 0.292 0.792 0.585
Tc 0.699 0.199 0.398
Tc 0.007 0.007 0.014
K 0.502 0.502 0.003

=====

Q: Which of them is the most stable? A: x.

=====

w:
Compound: KTlNi2
Source: the Alexandria database
Functional: meta-GGA SCAN
Structure: single point on PBEsol structure

ρ = 7.596 g/cm³
Symmetry = Immm
Calculated volume = 79 Å³/cell

abc: 4.615 4.779 4.779
angles: 66.36 61.13 61.13
Element x y z (fractional)
Tl 0.500 0.000 0.000
Ni 0.812 0.188 0.188
Ni 0.188 0.812 0.812
K 0.000 0.500 0.500

=====

x:
Compound: KTlNi2
Source: the Alexandria database
Functional: meta-GGA SCAN
Structure: single point on PBEsol structure

ρ = 8.384 g/cm³
Symmetry = I-4m2
Calculated volume = 71 Å³/cell

abc: 3.965 3.965 5.342
angles: 111.78 111.78 90.00
Element x y z (fractional)
Ni 0.000 0.000 0.000
Ni 0.750 0.250 0.500
Tl 0.500 0.500 0.000
K 0.250 0.750 0.500

=====

y:
Compound: KTlNi2
Source: the Alexandria database
Functional: meta-GGA SCAN
Structure: single point on PBEsol structure

ρ = 8.028 g/cm³
Symmetry = Imm2
Calculated volume = 75 Å³/cell

abc: 2.836 5.050 5.962
angles: 115.06 103.76 90.00
Site moments in Bohr magnetons follow the coordinates.
Element x y z (fractional)
Ni 0.268 0.768 0.535  0.47
Ni 0.949 0.949 0.898  0.63
K 0.743 0.243 0.487  -0.01
Tl 0.540 0.540 0.080  -0.02

=====

Q: Which of them is the most stable? A: y.